Computed, not measured: HfMgZr6 after structural relaxation at the PBE level of DFT.

Calculated values
Energy of formation from the pure elements ... 0.02 eV/atom
Size of the total moment ... 0.000 μB per atom
ΔE to the lowest computed polymorph ... 0.0 kJ per mole of atoms
Space group ... P4/mmm
Crystal system ... tetragonal

Unit cell a=4.5102 b=4.5102 c=8.9756 alpha=90.00 beta=90.00 gamma=90.00
With the nearest neighbours (Å) after each atom.
Positions (direct):
1 Zr 0.0000 0.5000 0.7480  2 Hf 3.17, 8 Zr 3.17-3.19, 2 Mg 3.19
2 Zr 0.5000 0.5000 0.5000  8 Zr 3.17, 4 Hf 3.19
3 Zr 0.5000 0.0000 0.7480  8 Zr 3.17-3.19, 2 Hf 3.17, 2 Mg 3.19
4 Zr 0.0000 0.5000 0.2520  2 Hf 3.17, 8 Zr 3.17-3.19, 2 Mg 3.19
5 Zr 0.5000 0.5000 0.0000  4 Mg 3.19, 8 Zr 3.19
6 Zr 0.5000 0.0000 0.2520  8 Zr 3.17-3.19, 2 Hf 3.17, 2 Mg 3.19
7 Hf 0.0000 0.0000 0.5000  12 Zr 3.17-3.19
8 Mg 0.0000 0.0000 0.0000  12 Zr 3.19